## Sr2CaAu (PBE-GGA)

Data for a relaxed structure of Sr2CaAu.

Properties
The calculation puts the calculated formation energy at -0.334 eV/atom. As for the space group: No. 71.

```
Sr2CaAu
1.0
3.8498 0.0000 0.0000
0.0000 4.8795 0.0000
0.0000 0.0000 16.9550
Sr Ca Au
4 2 2
Direct
0.0000 0.0000 0.1623
0.0000 0.0000 0.8377
0.5000 0.5000 0.3377
0.5000 0.5000 0.6623
0.0000 0.5000 0.0000
0.5000 0.0000 0.5000
0.0000 0.5000 0.5000
0.5000 0.0000 0.0000
```

## Ba6Pt3Au2Br (PBE-GGA)

Data for a relaxed structure of Ba6Pt3Au2Br.

Properties
For the raw formation energy, the calculation gives -0.903 eV/atom. As for the space group: No. 12.

```
Ba6Pt3Au2Br
1.0
10.2745 -2.3145 0.0000
10.2745 2.3145 0.0000
-2.3761 0.0000 9.1833
Ba Pt Au Br
6 3 2 1
Direct
0.0056 0.0056 0.2301
0.3250 0.3250 0.4266
0.3356 0.3356 0.9051
0.6644 0.6644 0.0949
0.6750 0.6750 0.5734
0.9944 0.9944 0.7699
0.1646 0.1646 0.3330
0.5000 0.5000 0.0000
0.8354 0.8354 0.6670
0.1646 0.1646 0.8296
0.8354 0.8354 0.1704
0.5000 0.5000 0.5000
```

## K3DyBi2Se6 (PBE-GGA)

Data for a relaxed structure of K3DyBi2Se6.

Properties
For the raw formation energy, the calculation gives -1.125 eV/atom. As for the space group: No. 12.

```
K3DyBi2Se6
1.0
3.7170 -6.4376 0.0000
3.7170 6.4376 0.0000
-2.4765 0.0000 7.7105
K Dy Bi Se
3 1 2 6
Direct
0.0000 0.0000 0.0000
0.3300 0.6700 0.0000
0.6700 0.3300 0.0000
0.5000 0.5000 0.5000
0.1662 0.8338 0.5000
0.8338 0.1662 0.5000
0.1045 0.4305 0.2911
0.2441 0.2441 0.7099
0.4305 0.1045 0.2911
0.5695 0.8955 0.7089
0.7559 0.7559 0.2901
0.8955 0.5695 0.7089
```

## Hf5Fe4Ru (PBE-GGA)

Data for a relaxed structure of Hf5Fe4Ru.

Properties
The calculation puts the calculated formation energy at -0.416 eV/atom. As for the space group: No. 123.

```
Hf5Fe4Ru
1.0
3.1632 0.0000 0.0000
0.0000 3.1632 0.0000
0.0000 0.0000 15.7631
Hf Fe Ru
5 4 1
Direct
0.0000 0.0000 0.0000
0.0000 0.0000 0.1977
0.0000 0.0000 0.3951
0.0000 0.0000 0.6049
0.0000 0.0000 0.8023
0.5000 0.5000 0.0989
0.5000 0.5000 0.2970
0.5000 0.5000 0.7030
0.5000 0.5000 0.9011
0.5000 0.5000 0.5000
```

## SnRh2Br (PBE-GGA)

Data for a relaxed structure of SnRh2Br.

Properties
For the raw formation energy, the calculation gives 0.245 eV/atom. As for the space group: No. 122.

```
SnRh2Br
1.0
4.6022 0.0000 0.0000
0.0000 4.6022 0.0000
0.0000 0.0000 15.7840
Sn Rh Br
4 8 4
Direct
0.0000 0.0000 0.0000
0.0000 0.5000 0.2500
0.5000 0.0000 0.7500
0.5000 0.5000 0.5000
0.2093 0.2500 0.6250
0.2500 0.7093 0.8750
0.2500 0.7907 0.3750
0.2907 0.2500 0.1250
0.7093 0.7500 0.1250
0.7500 0.2093 0.3750
0.7500 0.2907 0.8750
0.7907 0.7500 0.6250
0.0000 0.0000 0.5000
0.0000 0.5000 0.7500
0.5000 0.0000 0.2500
0.5000 0.5000 0.0000
```

## TbSmGa2Pd5 (PBE-GGA)

Data for a relaxed structure of TbSmGa2Pd5.

Properties
The calculation puts the calculated formation energy at -0.798 eV/atom. As for the space group: No. 123.

```
TbSmGa2Pd5
1.0
4.2368 0.0000 0.0000
0.0000 4.2368 0.0000
0.0000 0.0000 9.2708
Tb Sm Ga Pd
1 1 2 5
Direct
0.0000 0.0000 0.0000
0.0000 0.0000 0.5000
0.5000 0.5000 0.1341
0.5000 0.5000 0.8659
0.0000 0.5000 0.2747
0.0000 0.5000 0.7253
0.5000 0.0000 0.2747
0.5000 0.0000 0.7253
0.5000 0.5000 0.5000
```

no.,magnetization (μB/f.u.)
1,0.00
2,0.00
3,0.00
4,0.56
5,0.00
6,0.00